# AcEr5Ag6 (PBE, optimized geometry)
# Density of states at the Fermi level: 5.84 states/eV/f.u.
# ΔE_f: -29 kJ/mol of atoms
data_AcEr5Ag6
_symmetry_space_group_name_H-M 'P 1 2/m 1'
_symmetry_Int_Tables_number 10
_symmetry_space_group_name_Hall '-P 2y'
_cell_length_a 5.1990
_cell_length_b 7.2760
_cell_length_c 8.2465
_cell_angle_alpha 90.00
_cell_angle_beta 108.12
_cell_angle_gamma 90.00
loop_
_atom_site_label
_atom_site_type_symbol
_atom_site_fract_x
_atom_site_fract_y
_atom_site_fract_z
Ac1 Ac 0.0000 0.0000 0.0000
Er1 Er 0.0000 0.5000 0.0000
Er2 Er 0.3295 0.0000 0.6586
Er3 Er 0.3354 0.5000 0.6704
Ag1 Ag 0.1741 0.2616 0.3486
Ag2 Ag 0.5000 0.2737 0.0000


# ErZnGaPt2 (PBE, optimized geometry)
# Density of states at the Fermi level: 2.19 states/eV/f.u.
# ΔE_f: -75 kJ/mol of atoms
data_ErZnGaPt2
_symmetry_space_group_name_H-M 'C m m e'
_symmetry_Int_Tables_number 67
_symmetry_space_group_name_Hall '-C 2a 2'
_cell_length_a 5.2968
_cell_length_b 13.2057
_cell_length_c 5.3871
_cell_angle_alpha 90.00
_cell_angle_beta 90.00
_cell_angle_gamma 90.00
loop_
_atom_site_label
_atom_site_type_symbol
_atom_site_fract_x
_atom_site_fract_y
_atom_site_fract_z
Er1 Er 0.0000 0.2500 0.2217
Zn1 Zn 0.0000 0.0000 0.0000
Ga1 Ga 0.2500 0.0000 0.5000
Pt1 Pt 0.0000 0.1478 0.7064


# CaSiAu6 (PBE, optimized geometry)
# Density of states at the Fermi level: 3.54 states/eV/f.u.
# ΔE_f (raw): -0.201 eV/atom
data_CaSiAu6
_symmetry_space_group_name_H-M 'R -3 m'
_symmetry_Int_Tables_number 166
_symmetry_space_group_name_Hall '-R 3 2"'
_cell_length_a 5.7669
_cell_length_b 5.7669
_cell_length_c 19.0015
_cell_angle_alpha 90.00
_cell_angle_beta 90.00
_cell_angle_gamma 120.00
loop_
_atom_site_label
_atom_site_type_symbol
_atom_site_fract_x
_atom_site_fract_y
_atom_site_fract_z
Ca1 Ca 0.0000 0.0000 0.0000
Si1 Si 0.0000 0.0000 0.5000
Au1 Au 0.0124 0.5062 0.9234


| no. | E (eV per formula unit) |
| --- | --- |
| 1 | -47.60 |
| 2 | -24.86 |
| 3 | -28.70 |